Version a
Computed, not measured: LaBe3Rh after structural relaxation at the PBE level of DFT.

POSCAR file:
```
LaBe3Rh
1.0
-3.088 -0.792 -2.948
3.047 -0.548 -3.044
0.183 -4.234 0.946
Be Rh La
3 1 1
direct
0.500 0.000 0.000
0.000 0.000 0.500
0.000 0.500 0.000
0.000 0.000 0.000
0.500 0.500 0.500
```

Summary:
Its spin magnetization is 0.0 μB per cell.



Version b
Computed, not measured: LaBe3Rh after structural relaxation at the PBE level of DFT.

POSCAR file:
```
LaBe3Rh
1.0
4.682 0.000 0.000
0.000 4.682 0.000
0.000 0.000 4.682
Be Rh La
3 1 1
direct
0.500 0.000 0.000
0.000 0.000 0.500
0.000 0.500 0.000
0.500 0.500 0.500
0.000 0.000 0.000
```

Summary:
Its spin magnetization is 0.0 μB per cell.



Stability check: which of them is most stable? version a.



Version a
Computed, not measured: LaBe2Ru2 after structural relaxation at the PBE level of DFT.

POSCAR file:
```
LaBe2Ru2
1.0
-4.621 -5.103 0.574
4.396 -3.532 3.991
-1.200 1.372 2.535
Ru Be La
4 4 2
direct
0.154 0.654 0.500
0.654 0.846 0.500
0.346 0.154 0.500
0.846 0.346 0.500
0.108 0.392 0.000
0.892 0.608 0.000
0.392 0.892 0.000
0.608 0.108 0.000
0.500 0.500 0.000
0.000 0.000 0.000
```

Summary:
Its spin magnetization is 0.0 μB per cell.



Version b
Computed, not measured: LaBe2Ru2 after structural relaxation at the PBE level of DFT.

POSCAR file:
```
LaBe2Ru2
1.0
4.117 0.000 0.000
0.000 4.117 0.000
2.058 2.058 4.722
Ru La Be
2 1 2
direct
0.369 0.369 0.263
0.631 0.631 0.737
0.000 0.000 0.000
0.250 0.750 0.500
0.750 0.250 0.500
```

Summary:
Its spin magnetization is 0.0 μB per cell.



Stability check: which of them is most stable? version b.



Version a
Computed, not measured: La2BeS2 after structural relaxation at the PBE level of DFT.

POSCAR file:
```
La2BeS2
1.0
7.781 0.000 0.000
0.000 7.781 0.000
0.000 0.000 3.792
Be La S
2 4 4
direct
0.500 0.500 0.000
0.000 0.000 0.000
0.163 0.663 0.500
0.663 0.837 0.500
0.337 0.163 0.500
0.837 0.337 0.500
0.357 0.857 0.000
0.857 0.643 0.000
0.143 0.357 0.000
0.643 0.143 0.000
```

Summary:
Its spin magnetization is 0.0 μB per cell.



Version b
Computed, not measured: La2BeS2 after structural relaxation at the PBE level of DFT.

POSCAR file:
```
La2BeS2
1.0
-1.399 -3.788 4.098
4.182 2.085 3.356
-1.045 1.652 5.208
S La Be
2 2 1
direct
0.266 0.266 0.468
0.734 0.734 0.532
0.750 0.250 0.500
0.250 0.750 0.500
0.000 0.000 0.000
```

Summary:
Its spin magnetization is 0.0 μB per cell.



Stability check: which of them is most stable? version b.



Version a
Computed, not measured: La2BeSb after structural relaxation at the PBE level of DFT.

POSCAR file:
```
La2BeSb
1.0
-0.310 -3.655 -0.199
3.593 0.745 0.158
-0.295 -0.456 8.847
Be Sb La
1 1 2
direct
0.500 0.500 0.698
0.000 0.000 0.564
0.000 0.000 0.934
0.500 0.500 0.305
```

Summary:
Its spin magnetization is 0.0 μB per cell.



Version b
Computed, not measured: La2BeSb after structural relaxation at the PBE level of DFT.

POSCAR file:
```
La2BeSb
1.0
-3.383 -1.120 0.127
0.644 -1.588 3.127
-2.258 7.290 4.167
La Be Sb
2 1 1
direct
0.500 0.500 0.305
0.000 0.000 0.935
0.500 0.500 0.691
0.000 0.000 0.569
```

Summary:
Its spin magnetization is 0.0 μB per cell.



Version c
Computed, not measured: La2BeSb after structural relaxation at the PBE level of DFT.

POSCAR file:
```
La2BeSb
1.0
-0.629 1.918 3.622
-1.081 -4.042 1.953
5.059 -2.836 2.381
La Sb Be
2 1 1
direct
0.000 0.982 0.911
0.500 0.274 0.326
0.000 0.687 0.499
0.500 0.557 0.763
```

Summary:
Its spin magnetization is 0.5 μB per cell.



Stability check: which of them is most stable? version c.



Version a
Computed, not measured: La2BeSb after structural relaxation at the PBE level of DFT.

POSCAR file:
```
La2BeSb
1.0
5.582 -0.004 0.005
1.043 5.484 -0.005
-3.315 -2.737 3.561
Sb Be La
1 1 2
direct
0.750 0.250 0.500
0.250 0.750 0.500
0.500 0.500 0.000
0.000 0.000 0.000
```

Summary:
Its spin magnetization is 0.0 μB per cell.



Version b
Computed, not measured: La2BeSb after structural relaxation at the PBE level of DFT.

POSCAR file:
```
La2BeSb
1.0
-2.037 3.308 -7.131
-7.503 -3.017 0.744
-5.826 3.194 -1.478
La Sb Be
4 2 2
direct
0.375 0.407 0.750
0.157 0.625 0.250
0.875 0.843 0.750
0.593 0.125 0.250
0.000 0.000 0.000
0.750 0.250 0.500
0.500 0.500 0.000
0.250 0.750 0.500
```

Summary:
Its spin magnetization is 0.0 μB per cell.



Stability check: which of them is most stable? version a.



Version a
Computed, not measured: La2BeSb after structural relaxation at the PBE level of DFT.

POSCAR file:
```
La2BeSb
1.0
3.977 0.000 0.000
0.000 3.977 0.000
0.000 0.000 6.922
Sb Be La
1 1 2
direct
0.500 0.500 0.250
0.500 0.500 0.750
0.000 0.000 0.509
0.000 0.000 0.991
```

Summary:
Its spin magnetization is 0.0 μB per cell.



Version b
Computed, not measured: La2BeSb after structural relaxation at the PBE level of DFT.

POSCAR file:
```
La2BeSb
1.0
4.362 -1.496 -2.781
3.387 -3.645 2.060
0.269 -4.935 -2.137
Sb Be La
1 1 2
direct
0.500 0.500 0.500
0.000 0.000 0.000
0.750 0.750 0.750
0.250 0.250 0.250
```

Summary:
Its spin magnetization is 0.0 μB per cell.



Version c
Computed, not measured: La2BeSb after structural relaxation at the PBE level of DFT.

POSCAR file:
```
La2BeSb
1.0
-5.812 2.223 -0.275
-5.550 -0.300 2.812
-0.802 3.710 3.100
Be La Sb
1 2 1
direct
0.204 0.204 0.297
0.981 0.981 0.019
0.760 0.760 0.739
0.555 0.555 0.445
```

Summary:
Its spin magnetization is 0.0 μB per cell.



Version d
Computed, not measured: La2BeSb after structural relaxation at the PBE level of DFT.

POSCAR file:
```
La2BeSb
1.0
-1.109 -1.694 4.038
2.214 -3.811 -0.991
5.321 2.445 2.487
La Be Sb
2 1 1
direct
0.000 0.000 0.875
0.500 0.500 0.375
0.500 0.500 0.874
0.000 0.000 0.376
```

Summary:
Its spin magnetization is 0.9 μB per cell.



Stability check: which of them is most stable? version c.



Version a
Computed, not measured: La2BeSb after structural relaxation at the PBE level of DFT.

POSCAR file:
```
La2BeSb
1.0
-0.284 -0.155 4.411
-1.799 -3.524 1.976
6.097 -4.511 2.448
Be La Sb
1 2 1
direct
0.250 0.250 0.250
0.998 0.998 0.007
0.502 0.502 0.493
0.750 0.750 0.750
```

Summary:
Its spin magnetization is 0.8 μB per cell.



Version b
Computed, not measured: La2BeSb after structural relaxation at the PBE level of DFT.

POSCAR file:
```
La2BeSb
1.0
-0.352 -1.522 5.057
2.782 -4.165 1.709
4.099 0.717 3.271
La Be Sb
2 1 1
direct
0.000 0.000 0.000
0.250 0.250 0.250
0.500 0.500 0.500
0.750 0.750 0.750
```

Summary:
Its spin magnetization is 0.0 μB per cell.



Stability check: which of them is most stable? version a.



Version a
Computed, not measured: LaBeSb2 after structural relaxation at the PBE level of DFT.

POSCAR file:
```
LaBeSb2
1.0
6.048 0.029 0.000
2.806 5.358 0.000
-4.427 -2.693 3.119
Sb Be La
2 1 1
direct
0.000 0.000 0.000
0.250 0.750 0.500
0.500 0.500 0.000
0.750 0.250 0.500
```

Summary:
Its spin magnetization is 0.0 μB per cell.



Version b
Computed, not measured: LaBeSb2 after structural relaxation at the PBE level of DFT.

POSCAR file:
```
LaBeSb2
1.0
-3.314 0.724 -1.922
-2.051 -1.378 3.016
-0.199 5.972 2.593
Sb La Be
2 1 1
direct
0.000 0.000 0.465
0.000 0.000 0.035
0.500 0.500 0.750
0.500 0.500 0.250
```

Summary:
Its spin magnetization is 0.0 μB per cell.



Version c
Computed, not measured: LaBeSb2 after structural relaxation at the PBE level of DFT.

POSCAR file:
```
LaBeSb2
1.0
-4.184 2.173 -0.207
-2.173 -4.081 0.942
0.240 0.875 4.344
Sb Be La
2 1 1
direct
0.500 0.500 0.000
0.000 0.000 0.000
0.500 0.000 0.500
0.000 0.500 0.500
```

Summary:
Its spin magnetization is 0.0 μB per cell.



Version d
Computed, not measured: LaBeSb2 after structural relaxation at the PBE level of DFT.

POSCAR file:
```
LaBeSb2
1.0
4.197 0.000 0.000
0.000 4.554 -0.015
0.000 1.842 5.922
Sb La Be
2 1 1
direct
0.500 0.369 0.310
0.000 0.135 0.930
0.500 0.708 0.741
0.000 0.288 0.519
```

Summary:
Its spin magnetization is 0.0 μB per cell.



Stability check: which of them is most stable? version d.



Version a
Computed, not measured: LaBeSb2 after structural relaxation at the PBE level of DFT.

POSCAR file:
```
LaBeSb2
1.0
-5.773 0.316 -0.741
-3.496 0.071 -4.664
-1.907 -4.047 -0.854
Sb La Be
2 1 1
direct
0.500 0.500 0.500
0.000 0.000 0.000
0.250 0.250 0.250
0.750 0.750 0.750
```

Summary:
Its spin magnetization is 0.0 μB per cell.



Version b
Computed, not measured: LaBeSb2 after structural relaxation at the PBE level of DFT.

POSCAR file:
```
LaBeSb2
1.0
-0.006 -4.851 2.062
0.984 -4.170 -3.070
4.528 -2.648 0.522
Sb Be La
2 1 1
direct
0.250 0.250 0.250
0.000 0.000 0.000
0.500 0.500 0.500
0.750 0.750 0.750
```

Summary:
Its spin magnetization is 0.0 μB per cell.



Stability check: which of them is most stable? version a.



Version a
Computed, not measured: LaBeSb2 after structural relaxation at the PBE level of DFT.

POSCAR file:
```
LaBeSb2
1.0
0.195 -0.923 5.168
-4.307 0.623 2.944
-2.436 -4.197 2.013
La Sb Be
1 2 1
direct
0.500 0.500 0.500
0.750 0.750 0.750
0.250 0.250 0.250
0.000 0.000 0.000
```

Summary:
Its spin magnetization is 0.0 μB per cell.



Version b
Computed, not measured: LaBeSb2 after structural relaxation at the PBE level of DFT.

POSCAR file:
```
LaBeSb2
1.0
5.857 -1.002 -0.601
4.752 3.567 -0.601
4.752 1.149 3.430
Sb Be La
2 1 1
direct
0.967 0.967 0.967
0.533 0.533 0.533
0.250 0.250 0.250
0.750 0.750 0.750
```

Summary:
Its spin magnetization is 0.0 μB per cell.



Version c
Computed, not measured: LaBeSb2 after structural relaxation at the PBE level of DFT.

POSCAR file:
```
LaBeSb2
1.0
3.335 0.000 0.000
0.000 3.335 0.000
0.000 0.000 9.512
La Sb Be
1 2 1
direct
0.500 0.500 0.702
0.500 0.500 0.345
0.000 0.000 0.967
0.000 0.000 0.486
```

Summary:
Its spin magnetization is 0.0 μB per cell.



Stability check: which of them is most stable? version b.



Version a
Computed, not measured: LaBeSbTe2 after structural relaxation at the PBE level of DFT.

POSCAR file:
```
LaBeSbTe2
1.0
6.113 0.000 0.000
0.000 6.113 0.000
0.000 0.000 6.274
La Sb Be Te
1 1 1 2
direct
0.000 0.000 0.000
0.000 0.000 0.500
0.500 0.500 0.500
0.500 0.000 0.000
0.000 0.500 0.000
```

Summary:
Its spin magnetization is 0.9 μB per cell.



Version b
Computed, not measured: LaBeSbTe2 after structural relaxation at the PBE level of DFT.

POSCAR file:
```
LaBeSbTe2
1.0
-0.289 -4.082 3.391
4.566 1.539 2.242
-2.435 2.733 3.083
La Sb Be Te
1 1 1 2
direct
0.500 0.500 0.500
0.000 0.000 0.500
0.000 0.000 0.000
0.500 0.000 0.000
0.000 0.500 0.000
```

Summary:
Its spin magnetization is 0.0 μB per cell.



Stability check: which of them is most stable? version b.